A relaxed structure of LuBeZnCo. Source: OQMD, functional PBE.

The structure in extended XYZ format:
```
16
Lattice="6.131 0.000 0.000 0.000 6.131 0.000 0.000 0.000 6.131" Properties=species:S:1:pos:R:3 pbc="T T T"
Lu 0.000 0.000 0.000
Lu 0.000 3.065 3.065
Lu 3.065 0.000 3.065
Lu 3.065 3.065 0.000
Be 1.533 1.533 4.598
Be 1.533 4.598 1.533
Be 4.598 1.533 1.533
Be 4.598 4.598 4.598
Zn 1.533 1.533 1.533
Zn 1.533 4.598 4.598
Zn 4.598 1.533 4.598
Zn 4.598 4.598 1.533
Co 0.000 0.000 3.065
Co 0.000 3.065 0.000
Co 3.065 0.000 0.000
Co 3.065 3.065 3.065
```

Values from the calculation:
ρ (g/cm3): 8.89
Energy (eV per atom): -4.1237
Excess energy over the best structure of this formula in the dataset (eV per formula unit): 0.03


A relaxed structure of LuZrBeCo. Source: OQMD, functional PBE.

The structure in extended XYZ format:
```
16
Lattice="6.460 0.000 0.000 0.000 6.460 0.000 0.000 0.000 6.460" Properties=species:S:1:pos:R:3 pbc="T T T"
Lu 0.000 0.000 0.000
Lu 0.000 3.230 3.230
Lu 3.230 0.000 3.230
Lu 3.230 3.230 0.000
Zr 0.000 0.000 3.230
Zr 0.000 3.230 0.000
Zr 3.230 0.000 0.000
Zr 3.230 3.230 3.230
Be 1.615 1.615 4.845
Be 1.615 4.845 1.615
Be 4.845 1.615 1.615
Be 4.845 4.845 4.845
Co 1.615 1.615 1.615
Co 1.615 4.845 4.845
Co 4.845 1.615 4.845
Co 4.845 4.845 1.615
```

Values from the calculation:
ρ (g/cm3): 8.23
Energy (eV per atom): -6.0836
Excess energy over the best structure of this formula in the dataset (eV per formula unit): 0.00


A relaxed structure of LuZrBeCo. Source: OQMD, functional PBE.

The structure in extended XYZ format:
```
16
Lattice="6.358 0.000 0.000 0.000 6.358 0.000 0.000 0.000 6.358" Properties=species:S:1:pos:R:3 pbc="T T T"
Lu 0.000 0.000 0.000
Lu 0.000 3.179 3.179
Lu 3.179 0.000 3.179
Lu 3.179 3.179 0.000
Zr 1.590 1.590 1.590
Zr 1.590 4.769 4.769
Zr 4.769 1.590 4.769
Zr 4.769 4.769 1.590
Be 1.590 1.590 4.769
Be 1.590 4.769 1.590
Be 4.769 1.590 1.590
Be 4.769 4.769 4.769
Co 0.000 0.000 3.179
Co 0.000 3.179 0.000
Co 3.179 0.000 0.000
Co 3.179 3.179 3.179
```

Values from the calculation:
ρ (g/cm3): 8.63
Energy (eV per atom): -5.8572
Excess energy over the best structure of this formula in the dataset (eV per formula unit): 0.91


A relaxed structure of Mg2BeCo. Source: OQMD, functional PBE.

The structure in extended XYZ format:
```
16
Lattice="6.039 0.000 0.000 0.000 6.039 0.000 0.000 0.000 6.039" Properties=species:S:1:pos:R:3 pbc="T T T"
Mg 0.000 0.000 0.000
Mg 0.000 3.019 3.019
Mg 1.510 1.510 1.510
Mg 1.510 4.529 4.529
Mg 3.019 0.000 3.019
Mg 3.019 3.019 0.000
Mg 4.529 1.510 4.529
Mg 4.529 4.529 1.510
Be 0.000 0.000 3.019
Be 0.000 3.019 0.000
Be 3.019 0.000 0.000
Be 3.019 3.019 3.019
Co 1.510 1.510 4.529
Co 1.510 4.529 1.510
Co 4.529 1.510 1.510
Co 4.529 4.529 4.529
```

Values from the calculation:
ρ (g/cm3): 3.52
Energy (eV per atom): -3.2428


A relaxed structure of MgBeCoPb. Source: OQMD, functional PBE.

The structure in extended XYZ format:
```
16
Lattice="6.294 0.000 0.000 0.000 6.294 0.000 0.000 0.000 6.294" Properties=species:S:1:pos:R:3 pbc="T T T"
Mg 0.000 0.000 0.000
Mg 0.000 3.147 3.147
Mg 3.147 0.000 3.147
Mg 3.147 3.147 0.000
Be 1.573 1.573 1.573
Be 1.573 4.720 4.720
Be 4.720 1.573 4.720
Be 4.720 4.720 1.573
Co 1.573 1.573 4.720
Co 1.573 4.720 1.573
Co 4.720 1.573 1.573
Co 4.720 4.720 4.720
Pb 0.000 0.000 3.147
Pb 0.000 3.147 0.000
Pb 3.147 0.000 0.000
Pb 3.147 3.147 3.147
```

Values from the calculation:
ρ (g/cm3): 7.98
Energy (eV per atom): -3.5691
Excess energy over the best structure of this formula in the dataset (eV per formula unit): 0.00


A relaxed structure of MgTaBeCo. Source: OQMD, functional PBE.

The structure in extended XYZ format:
```
16
Lattice="5.969 0.000 0.000 0.000 5.969 0.000 0.000 0.000 5.969" Properties=species:S:1:pos:R:3 pbc="T T T"
Mg 0.000 0.000 0.000
Mg 0.000 2.985 2.985
Mg 2.985 0.000 2.985
Mg 2.985 2.985 0.000
Ta 1.492 1.492 1.492
Ta 1.492 4.477 4.477
Ta 4.477 1.492 4.477
Ta 4.477 4.477 1.492
Be 1.492 1.492 4.477
Be 1.492 4.477 1.492
Be 4.477 1.492 1.492
Be 4.477 4.477 4.477
Co 0.000 0.000 2.985
Co 0.000 2.985 0.000
Co 2.985 0.000 0.000
Co 2.985 2.985 2.985
```

Values from the calculation:
ρ (g/cm3): 8.53
Energy (eV per atom): -5.9227
Excess energy over the best structure of this formula in the dataset (eV per formula unit): 0.60


A relaxed structure of MgTaBeCo. Source: OQMD, functional PBE.

The structure in extended XYZ format:
```
16
Lattice="5.987 0.000 0.000 0.000 5.987 0.000 0.000 0.000 5.987" Properties=species:S:1:pos:R:3 pbc="T T T"
Mg 0.000 0.000 0.000
Mg 0.000 2.994 2.994
Mg 2.994 0.000 2.994
Mg 2.994 2.994 0.000
Ta 1.497 1.497 4.490
Ta 1.497 4.490 1.497
Ta 4.490 1.497 1.497
Ta 4.490 4.490 4.490
Be 0.000 0.000 2.994
Be 0.000 2.994 0.000
Be 2.994 0.000 0.000
Be 2.994 2.994 2.994
Co 1.497 1.497 1.497
Co 1.497 4.490 4.490
Co 4.490 1.497 4.490
Co 4.490 4.490 1.497
```

Values from the calculation:
ρ (g/cm3): 8.46
Energy (eV per atom): -5.6018
Excess energy over the best structure of this formula in the dataset (eV per formula unit): 1.89


A relaxed structure of MgTaBeCo. Source: OQMD, functional PBE.

The structure in extended XYZ format:
```
16
Lattice="5.977 0.000 0.000 0.000 5.977 0.000 0.000 0.000 5.977" Properties=species:S:1:pos:R:3 pbc="T T T"
Mg 0.000 0.000 0.000
Mg 0.000 2.988 2.988
Mg 2.988 0.000 2.988
Mg 2.988 2.988 0.000
Ta 0.000 0.000 2.988
Ta 0.000 2.988 0.000
Ta 2.988 0.000 0.000
Ta 2.988 2.988 2.988
Be 1.494 1.494 1.494
Be 1.494 4.483 4.483
Be 4.483 1.494 4.483
Be 4.483 4.483 1.494
Co 1.494 1.494 4.483
Co 1.494 4.483 1.494
Co 4.483 1.494 1.494
Co 4.483 4.483 4.483
```

Values from the calculation:
ρ (g/cm3): 8.50
Energy (eV per atom): -6.0739
Excess energy over the best structure of this formula in the dataset (eV per formula unit): 0.00


A relaxed structure of MgBeTlCo. Source: OQMD, functional PBE.

The structure in extended XYZ format:
```
16
Lattice="6.224 0.000 0.000 0.000 6.224 0.000 0.000 0.000 6.224" Properties=species:S:1:pos:R:3 pbc="T T T"
Mg 0.000 0.000 0.000
Mg 0.000 3.112 3.112
Mg 3.112 0.000 3.112
Mg 3.112 3.112 0.000
Be 1.556 1.556 1.556
Be 1.556 4.668 4.668
Be 4.668 1.556 4.668
Be 4.668 4.668 1.556
Tl 0.000 0.000 3.112
Tl 0.000 3.112 0.000
Tl 3.112 0.000 0.000
Tl 3.112 3.112 3.112
Co 1.556 1.556 4.668
Co 1.556 4.668 1.556
Co 4.668 1.556 1.556
Co 4.668 4.668 4.668
```

Values from the calculation:
ρ (g/cm3): 8.17
Energy (eV per atom): -3.2679
Excess energy over the best structure of this formula in the dataset (eV per formula unit): 0.00


A relaxed structure of BeCoMo2. Source: OQMD, functional PBE.

The structure in extended XYZ format:
```
16
Lattice="5.916 0.000 0.000 0.000 5.916 0.000 0.000 0.000 5.916" Properties=species:S:1:pos:R:3 pbc="T T T"
Be 0.000 0.000 0.000
Be 0.000 2.958 2.958
Be 2.958 0.000 2.958
Be 2.958 2.958 0.000
Co 1.479 1.479 1.479
Co 1.479 4.437 4.437
Co 4.437 1.479 4.437
Co 4.437 4.437 1.479
Mo 0.000 0.000 2.958
Mo 0.000 2.958 0.000
Mo 1.479 1.479 4.437
Mo 1.479 4.437 1.479
Mo 2.958 0.000 0.000
Mo 2.958 2.958 2.958
Mo 4.437 1.479 1.479
Mo 4.437 4.437 4.437
```

Values from the calculation:
ρ (g/cm3): 8.34
Energy (eV per atom): -7.9114


A relaxed structure of BeCoMo. Source: OQMD, functional PBE.

The structure in extended XYZ format:
```
12
Lattice="5.482 0.000 0.000 0.000 5.482 0.000 0.000 0.000 5.482" Properties=species:S:1:pos:R:3 pbc="T T T"
Be 0.000 0.000 0.000
Be 0.000 2.741 2.741
Be 2.741 0.000 2.741
Be 2.741 2.741 0.000
Co 0.000 0.000 2.741
Co 0.000 2.741 0.000
Co 2.741 0.000 0.000
Co 2.741 2.741 2.741
Mo 1.371 1.371 1.371
Mo 1.371 4.112 4.112
Mo 4.112 1.371 4.112
Mo 4.112 4.112 1.371
```

Values from the calculation:
ρ (g/cm3): 6.61
Energy (eV per atom): -6.4969
Excess energy over the best structure of this formula in the dataset (eV per formula unit): 1.58


A relaxed structure of BeCoMo. Source: OQMD, functional PBE.

The structure in extended XYZ format:
```
12
Lattice="5.386 0.000 0.000 0.000 5.386 0.000 0.000 0.000 5.386" Properties=species:S:1:pos:R:3 pbc="T T T"
Be 0.000 0.000 0.000
Be 0.000 2.693 2.693
Be 2.693 0.000 2.693
Be 2.693 2.693 0.000
Co 1.347 1.347 1.347
Co 1.347 4.040 4.040
Co 4.040 1.347 4.040
Co 4.040 4.040 1.347
Mo 0.000 0.000 2.693
Mo 0.000 2.693 0.000
Mo 2.693 0.000 0.000
Mo 2.693 2.693 2.693
```

Values from the calculation:
ρ (g/cm3): 6.97
Energy (eV per atom): -7.0221
Excess energy over the best structure of this formula in the dataset (eV per formula unit): 0.00


Question: Number 12 is which compound?
Answer: BeCoMo


Question: Look up the energy of the twelfth one.
Answer: -7.0221 eV per atom


Repeat the twelfth record exactly.
A relaxed structure of BeCoMo. Source: OQMD, functional PBE.

The structure in extended XYZ format:
```
12
Lattice="5.386 0.000 0.000 0.000 5.386 0.000 0.000 0.000 5.386" Properties=species:S:1:pos:R:3 pbc="T T T"
Be 0.000 0.000 0.000
Be 0.000 2.693 2.693
Be 2.693 0.000 2.693
Be 2.693 2.693 0.000
Co 1.347 1.347 1.347
Co 1.347 4.040 4.040
Co 4.040 1.347 4.040
Co 4.040 4.040 1.347
Mo 0.000 0.000 2.693
Mo 0.000 2.693 0.000
Mo 2.693 0.000 0.000
Mo 2.693 2.693 2.693
```

Values from the calculation:
ρ (g/cm3): 6.97
Energy (eV per atom): -7.0221
Excess energy over the best structure of this formula in the dataset (eV per formula unit): 0.00